No. 1
Material: BeBS
Method: DFT, PBE
State: relaxed

- Crystal system: triclinic
- Energy relative to the lowest polymorph listed for this composition: 0.000 eV/atom

The structure in POSCAR format:
```
BeBS
1.0
3.203 0.000 0.000
-0.806 4.447 0.001
-0.713 -0.646 5.004
Be S B
2 2 2
direct
0.349 0.646 0.230
0.651 0.354 0.770
0.766 0.344 0.204
0.234 0.656 0.796
0.256 0.954 0.543
0.744 0.046 0.457
```



No. 2
Material: Be2SnBS
Method: DFT, PBE
State: relaxed

- Crystal system: tetragonal

The structure in POSCAR format:
```
Be2SnBS
1.0
-0.192 -3.019 2.309
2.317 -2.907 -3.607
3.398 0.900 1.458
Be S B Sn
2 1 1 1
direct
0.000 0.000 0.500
0.500 0.000 0.000
0.500 0.500 0.500
0.000 0.000 0.000
0.000 0.500 0.000
```



| no. | magnetization (μB per atom) | uncorrected formation energy (meV per atom) |
| --- | --- | --- |
| 1 | 0.000 | -311 |
| 2 | 0.000 | 280 |